--- i ---
YFeSbPd PBE optimized geometry; crystal system = cubic
1.0
-2.116 -2.946 3.179
-4.621 -1.253 -0.578
-1.134 -4.510 -1.276
Fe Pd Sb Y
1 1 1 1
Direct
0.750 0.750 0.750
0.500 0.500 0.500
0.000 0.000 0.000
0.250 0.250 0.250

***

--- ii ---
YFeSbPd PBE optimized geometry; crystal system = cubic
1.0
4.381 -1.238 1.253
0.667 -3.117 3.484
1.601 -4.332 -0.983
Fe Pd Sb Y
1 1 1 1
Direct
0.750 0.750 0.750
0.250 0.250 0.250
0.000 0.000 0.000
0.500 0.500 0.500

***

It is i that is the least stable of them.

***

--- i ---
ScTlFePd PBE optimized geometry; crystal system = cubic
1.0
0.000 3.303 3.303
3.303 0.000 3.303
3.303 3.303 0.000
Fe Pd Sc Tl
1 1 1 1
Direct
0.750 0.750 0.750
0.500 0.500 0.500
0.250 0.250 0.250
0.000 0.000 0.000

***

--- ii ---
ScTlFePd PBE optimized geometry; crystal system = cubic
1.0
0.108 -4.200 1.925
-3.711 -2.744 -0.233
0.076 -3.767 -2.676
Fe Pd Sc Tl
1 1 1 1
Direct
0.750 0.750 0.750
0.250 0.250 0.250
0.500 0.500 0.500
0.000 0.000 0.000

***

It is i that is the least stable of them.

***

--- i ---
TaFeSiPd PBE optimized geometry; crystal system = cubic
1.0
0.000 3.071 3.071
3.071 0.000 3.071
3.071 3.071 0.000
Fe Pd Si Ta
1 1 1 1
Direct
0.750 0.750 0.750
0.500 0.500 0.500
0.000 0.000 0.000
0.250 0.250 0.250

***

--- ii ---
TaFeSiPd PBE optimized geometry; crystal system = cubic
1.0
0.000 3.055 3.055
3.055 0.000 3.055
3.055 3.055 0.000
Fe Pd Si Ta
1 1 1 1
Direct
0.750 0.750 0.750
0.250 0.250 0.250
0.000 0.000 0.000
0.500 0.500 0.500

***

It is i that is the least stable of them.

***

--- i ---
Fe2SnPd2 PBE optimized geometry; crystal system = tetragonal
1.0
-6.417 2.652 2.648
-3.446 -6.239 -2.102
0.575 -1.188 2.583
Fe Pd Sn
4 4 2
Direct
0.339 0.161 0.500
0.839 0.339 0.500
0.161 0.661 0.500
0.661 0.839 0.500
0.633 0.133 0.000
0.133 0.367 0.000
0.867 0.633 0.000
0.367 0.867 0.000
0.000 0.000 0.000
0.500 0.500 0.000

***

--- ii ---
Fe2SnPd2 PBE optimized geometry; crystal system = tetragonal
1.0
3.861 -4.796 -0.646
2.604 -4.738 3.014
-2.112 -3.171 -0.677
Fe Pd Sn
2 2 1
Direct
0.900 0.900 0.100
0.100 0.100 0.900
0.250 0.250 0.250
0.750 0.750 0.750
0.500 0.500 0.500

***

It is ii that is the least stable of them.

***

--- i ---
TaFeSnPd PBE optimized geometry; crystal system = cubic
1.0
0.000 3.193 3.193
3.193 0.000 3.193
3.193 3.193 0.000
Fe Pd Sn Ta
1 1 1 1
Direct
0.750 0.750 0.750
0.250 0.250 0.250
0.000 0.000 0.000
0.500 0.500 0.500

***

--- ii ---
TaFeSnPd PBE optimized geometry; crystal system = cubic
1.0
-3.225 1.552 2.813
-0.421 4.473 0.733
-3.586 2.253 -1.671
Fe Pd Sn Ta
1 1 1 1
Direct
0.750 0.750 0.750
0.500 0.500 0.500
0.000 0.000 0.000
0.250 0.250 0.250

***

It is ii that is the least stable of them.

***

--- i ---
YFeSnPd PBE optimized geometry; crystal system = cubic
1.0
0.000 3.406 3.406
3.406 0.000 3.406
3.406 3.406 0.000
Fe Pd Sn Y
1 1 1 1
Direct
0.750 0.750 0.750
0.500 0.500 0.500
0.000 0.000 0.000
0.250 0.250 0.250

***

--- ii ---
YFeSnPd PBE optimized geometry; crystal system = cubic
1.0
0.000 3.348 3.348
3.348 0.000 3.348
3.348 3.348 0.000
Fe Pd Sn Y
1 1 1 1
Direct
0.750 0.750 0.750
0.250 0.250 0.250
0.000 0.000 0.000
0.500 0.500 0.500

***

It is i that is the least stable of them.